{
  "formula": "HfWF2",
  "functional": "GGA+U",
  "state": "optimized geometry",
  "cell": [[4.480, 0.000, 0.000], [0.000, 4.480, 0.000], [2.240, 2.240, 7.086]],
  "species": ["F", "F", "F", "F", "Hf", "Hf", "W", "W"],
  "frac_coords": [[0.375, 0.546, 0.750], [0.875, 0.704, 0.750], [0.454, 0.125, 0.250], [0.296, 0.625, 0.250], [0.250, 0.750, 0.500], [0.500, 0.500, 0.000], [0.750, 0.250, 0.500], [0.000, 0.000, 0.000]],
  "e_above_lowest_polymorph_kcal_per_mol_atoms": 2.47
}